# 1
MnAl2Zn | PBE-GGA | relaxed

Values from the calculation:
Energy relative to the elements   0.00 eV per atom

```
data_MnAl2Zn
_symmetry_space_group_name_H-M 'P 1'
_symmetry_Int_Tables_number 1
_cell_length_a 8.854
_cell_length_b 8.854
_cell_length_c 8.854
_cell_angle_alpha 18.17
_cell_angle_beta 18.17
_cell_angle_gamma 18.17
loop_
_symmetry_equiv_pos_as_xyz
'x,y,z'
loop_
_atom_site_label
_atom_site_fract_x
_atom_site_fract_y
_atom_site_fract_z
Mn1 0.000 0.000 0.000
Al1 0.500 0.500 0.500
Al2 0.743 0.743 0.743
Zn1 0.254 0.254 0.254
```

# 2
Ce6SiPb | PBE-GGA | relaxed

Values from the calculation:
Formation energy (no corrections)   -0.306 eV/atom

```
data_Ce6SiPb
_symmetry_space_group_name_H-M 'P 1'
_symmetry_Int_Tables_number 1
_cell_length_a 4.703
_cell_length_b 4.703
_cell_length_c 9.397
_cell_angle_alpha 90.00
_cell_angle_beta 90.00
_cell_angle_gamma 90.00
loop_
_symmetry_equiv_pos_as_xyz
'x,y,z'
loop_
_atom_site_label
_atom_site_fract_x
_atom_site_fract_y
_atom_site_fract_z
Ce1 0.000 0.000 0.000
Ce2 0.000 0.000 0.500
Ce3 0.000 0.500 0.230
Ce4 0.000 0.500 0.770
Ce5 0.500 0.000 0.230
Ce6 0.500 0.000 0.770
Si1 0.500 0.500 0.000
Pb1 0.500 0.500 0.500
```

# 3
Th8PC3S4 | PBE-GGA | relaxed

Values from the calculation:
Formation energy (no corrections)   -1.301 eV/atom

```
data_Th8PC3S4
_symmetry_space_group_name_H-M 'P 1'
_symmetry_Int_Tables_number 1
_cell_length_a 8.049
_cell_length_b 8.049
_cell_length_c 8.049
_cell_angle_alpha 58.52
_cell_angle_beta 58.52
_cell_angle_gamma 58.52
loop_
_symmetry_equiv_pos_as_xyz
'x,y,z'
loop_
_atom_site_label
_atom_site_fract_x
_atom_site_fract_y
_atom_site_fract_z
Th1 0.224 0.749 0.749
Th2 0.237 0.237 0.237
Th3 0.251 0.251 0.776
Th4 0.251 0.776 0.251
Th5 0.749 0.224 0.749
Th6 0.749 0.749 0.224
Th7 0.763 0.763 0.763
Th8 0.776 0.251 0.251
P1 0.500 0.500 0.500
C1 0.000 0.000 0.500
C2 0.000 0.500 0.000
C3 0.500 0.000 0.000
S1 0.000 0.000 0.000
S2 0.000 0.500 0.500
S3 0.500 0.000 0.500
S4 0.500 0.500 0.000
```